Entry 1:
Density functional theory data (PBE) for TmZn2Ru after structural relaxation.

```
data_TmZn2Ru
_chemical_formula_sum 'Tm4 Zn8 Ru4'
_cell_length_a 6.454
_cell_length_b 6.454
_cell_length_c 6.454
_cell_angle_alpha 90.00
_cell_angle_beta 90.00
_cell_angle_gamma 90.00
_symmetry_space_group_name_H-M 'F m -3 m'
_symmetry_Int_Tables_number 225
_symmetry_space_group_name_Hall '-F 4 2 3'
loop_
_atom_site_label
_atom_site_type_symbol
_atom_site_fract_x
_atom_site_fract_y
_atom_site_fract_z
Tm1 Tm 0.000 0.000 0.000
Zn1 Zn 0.250 0.250 0.250
Ru1 Ru 0.000 0.000 0.500
```



Entry 2:
# KTlAg2 (PBE, relaxed)
data_KTlAg2
_chemical_formula_sum 'K2 Tl2 Ag4'
_cell_length_a 8.419
_cell_length_b 4.875
_cell_length_c 6.658
_cell_angle_alpha 90.00
_cell_angle_beta 115.15
_cell_angle_gamma 90.00
_symmetry_space_group_name_H-M 'C 1 m 1'
_symmetry_Int_Tables_number 8
loop_
_symmetry_equiv_pos_as_xyz
'x,y,z'
'x,-y,z'
'x+1/2,y+1/2,z'
'x+1/2,-y+1/2,z'
loop_
_atom_site_label
_atom_site_type_symbol
_atom_site_fract_x
_atom_site_fract_y
_atom_site_fract_z
K1 K 0.000 0.000 0.000
Tl1 Tl 0.201 0.000 0.604
Ag1 Ag 0.300 0.500 0.399
Ag2 Ag 0.471 0.000 0.415
# E above lowest polymorph: 0.0 meV per atom



no.,energy relative to the elements (eV/atom),E (eV/atom)
1,-0.18,-4.2505
2,0.01,-2.2831